1.
DFT (GGA-PBEsol) results for a geometry-optimized K2Al2B2O7 structure.

Output
uncorrected formation energy = -252 kJ per mole of atoms

Cell: 8.5681 8.5681 8.4729 Å, 90.00 90.00 120.00°
With the nearest neighbours (Å) after each atom.
Atoms (fractional coordinates):
K 0.0000 0.3136 0.0000  4 O 2.68-2.95
K 0.0000 0.3545 0.5000  4 O 2.68-2.75
K 0.3136 0.0000 0.0000  4 O 2.68-2.95
K 0.3545 0.0000 0.5000  4 O 2.68-2.75
K 0.6455 0.6455 0.5000  4 O 2.68-2.75
K 0.6864 0.6864 0.0000  4 O 2.68-2.95
Al 0.0000 0.0000 0.2974  4 O 1.72-1.77
Al 0.0000 0.0000 0.7026  4 O 1.72-1.77
Al 0.3333 0.6667 0.1858  4 O 1.73-1.76
Al 0.3333 0.6667 0.7781  4 O 1.73-1.76
Al 0.6667 0.3333 0.2219  4 O 1.73-1.76
Al 0.6667 0.3333 0.8142  4 O 1.73-1.76
B 0.0010 0.6661 0.7432  3 O 1.38
B 0.3339 0.3349 0.7432  3 O 1.38
B 0.3349 0.3339 0.2568  3 O 1.38
B 0.6651 0.9990 0.7432  3 O 1.38
B 0.6661 0.0010 0.2568  3 O 1.38
B 0.9990 0.6651 0.2568  3 O 1.38
O 0.0000 0.0000 0.5000  2 Al 1.72
O 0.0611 0.8445 0.2246  1 B 1.38
O 0.1145 0.5970 0.2549  1 B 1.38
O 0.1555 0.2167 0.2246  1 B 1.38
O 0.1806 0.7319 0.7079  1 B 1.38
O 0.2167 0.1555 0.7754  1 B 1.38
O 0.2681 0.4487 0.7079  1 B 1.38
O 0.3333 0.6667 0.9820  2 Al 1.73
O 0.4030 0.5174 0.2549  1 B 1.38
O 0.4487 0.2681 0.2921  1 B 1.38
O 0.4826 0.8855 0.2549  1 B 1.38
O 0.5174 0.4030 0.7451  1 B 1.38
O 0.5513 0.8194 0.7079  1 B 1.38
O 0.5970 0.1145 0.7451  1 B 1.38
O 0.6667 0.3333 0.0180  2 Al 1.73
O 0.7319 0.1806 0.2921  1 B 1.38
O 0.7833 0.9389 0.2246  1 B 1.38
O 0.8194 0.5513 0.2921  1 B 1.38
O 0.8445 0.0611 0.7754  1 B 1.38
O 0.8855 0.4826 0.7451  1 B 1.38
O 0.9389 0.7833 0.7754  1 B 1.38

2.
DFT (GGA-PBEsol) results for a geometry-optimized K3AlB8O15 structure.

Output
uncorrected formation energy = -241 kJ per mole of atoms

Cell: 10.1975 11.5036 12.7902 Å, 90.00 90.92 90.00°
With the nearest neighbours (Å) after each atom.
Atoms (fractional coordinates):
K 0.0367 0.1469 0.2838  5 O 2.70-2.78
K 0.0367 0.3531 0.7838  5 O 2.70-2.78
K 0.3887 0.6271 0.4366  5 O 2.57-2.83
K 0.3887 0.8729 0.9366  5 O 2.57-2.83
K 0.3917 0.0976 0.3967  5 O 2.62-2.91
K 0.3917 0.4024 0.8967  5 O 2.62-2.91
K 0.6083 0.5976 0.1033  5 O 2.62-2.91
K 0.6083 0.9024 0.6033  5 O 2.62-2.91
K 0.6113 0.1271 0.0634  5 O 2.57-2.83
K 0.6113 0.3729 0.5634  5 O 2.57-2.83
K 0.9633 0.6469 0.2162  5 O 2.70-2.78
K 0.9633 0.8531 0.7162  5 O 2.70-2.78
Al 0.2483 0.1665 0.0376  4 O 1.73-1.78
Al 0.2483 0.3335 0.5376  4 O 1.73-1.78
Al 0.7517 0.6665 0.4624  4 O 1.73-1.78
Al 0.7517 0.8335 0.9624  4 O 1.73-1.78
B 0.0084 0.1976 0.5848  3 O 1.35-1.40
B 0.0084 0.3024 0.0848  3 O 1.35-1.40
B 0.1541 0.5992 0.0249  3 O 1.36-1.41
B 0.1541 0.9008 0.5249  3 O 1.36-1.41
B 0.1951 0.6251 0.8343  4 O 1.47-1.49
B 0.1951 0.8749 0.3343  4 O 1.47-1.49
B 0.2757 0.5514 0.6624  3 O 1.35-1.41
B 0.2757 0.9486 0.1624  3 O 1.35-1.41
B 0.2778 0.1208 0.8107  3 O 1.35-1.40
B 0.2778 0.3792 0.3107  3 O 1.35-1.40
B 0.3079 0.5395 0.1810  4 O 1.47-1.48
B 0.3079 0.9605 0.6810  4 O 1.47-1.48
B 0.3305 0.7484 0.7160  3 O 1.36-1.39
B 0.3305 0.7516 0.2160  3 O 1.36-1.39
B 0.3687 0.1621 0.6416  3 O 1.37-1.40
B 0.3687 0.3379 0.1416  3 O 1.37-1.40
B 0.6313 0.6621 0.8584  3 O 1.37-1.40
B 0.6313 0.8379 0.3584  3 O 1.37-1.40
B 0.6695 0.2484 0.7840  3 O 1.36-1.39
B 0.6695 0.2516 0.2840  3 O 1.36-1.39
B 0.6921 0.0395 0.3190  4 O 1.47-1.48
B 0.6921 0.4605 0.8190  4 O 1.47-1.48
B 0.7222 0.6208 0.6893  3 O 1.35-1.40
B 0.7222 0.8792 0.1893  3 O 1.35-1.40
B 0.7243 0.0514 0.8376  3 O 1.35-1.41
B 0.7243 0.4486 0.3376  3 O 1.35-1.41
B 0.8049 0.1251 0.6657  4 O 1.47-1.49
B 0.8049 0.3749 0.1657  4 O 1.47-1.49
B 0.8459 0.0992 0.4751  3 O 1.36-1.41
B 0.8459 0.4008 0.9751  3 O 1.36-1.41
B 0.9916 0.6976 0.9152  3 O 1.35-1.40
B 0.9916 0.8024 0.4152  3 O 1.35-1.40
O 0.0332 0.6570 0.0133  2 B 1.40-1.41
O 0.0332 0.8430 0.5133  2 B 1.40-1.41
O 0.0586 0.6650 0.8277  2 B 1.37-1.47
O 0.0586 0.8350 0.3277  2 B 1.37-1.47
O 0.1106 0.2280 0.0935  1 B 1.35
O 0.1106 0.2720 0.5935  1 B 1.35
O 0.1844 0.5679 0.1249  2 B 1.36-1.48
O 0.1844 0.9321 0.6249  2 B 1.36-1.48
O 0.2176 0.5310 0.7568  2 B 1.37-1.49
O 0.2176 0.9690 0.2568  2 B 1.37-1.49
O 0.2296 0.5800 0.9392  2 B 1.37-1.48
O 0.2296 0.9200 0.4392  2 B 1.37-1.48
O 0.2363 0.1641 0.9025  1 B 1.35
O 0.2363 0.3359 0.4025  1 B 1.35
O 0.2732 0.0053 0.7854  2 B 1.37-1.48
O 0.2732 0.4947 0.2854  2 B 1.37-1.48
O 0.2793 0.7263 0.8117  2 B 1.36-1.48
O 0.2793 0.7737 0.3117  2 B 1.36-1.48
O 0.2868 0.0286 0.0857  1 B 1.35
O 0.2868 0.4714 0.5857  1 B 1.35
O 0.3282 0.2010 0.7393  2 B 1.40
O 0.3282 0.2990 0.2393  2 B 1.40
O 0.3308 0.6607 0.6407  2 B 1.39-1.41
O 0.3308 0.8393 0.1407  2 B 1.39-1.41
O 0.3860 0.0460 0.6225  2 B 1.37-1.48
O 0.3860 0.2428 0.5646  1 B 1.37
O 0.3860 0.2572 0.0646  1 B 1.37
O 0.3860 0.4540 0.1225  2 B 1.37-1.48
O 0.3859 0.6468 0.1923  2 B 1.37-1.47
O 0.3859 0.8532 0.6923  2 B 1.37-1.47
O 0.6141 0.1468 0.3077  2 B 1.37-1.47
O 0.6141 0.3532 0.8077  2 B 1.37-1.47
O 0.6140 0.5460 0.8775  2 B 1.37-1.48
O 0.6140 0.7428 0.9354  1 B 1.37
O 0.6140 0.7572 0.4354  1 B 1.37
O 0.6140 0.9540 0.3775  2 B 1.37-1.48
O 0.6692 0.1607 0.8593  2 B 1.39-1.41
O 0.6692 0.3393 0.3593  2 B 1.39-1.41
O 0.6718 0.7010 0.7607  2 B 1.40
O 0.6718 0.7990 0.2607  2 B 1.40
O 0.7132 0.5286 0.4143  1 B 1.35
O 0.7132 0.9714 0.9143  1 B 1.35
O 0.7207 0.2263 0.6883  2 B 1.36-1.48
O 0.7207 0.2737 0.1883  2 B 1.36-1.48
O 0.7268 0.5053 0.7146  2 B 1.37-1.48
O 0.7268 0.9947 0.2146  2 B 1.37-1.48
O 0.7637 0.6641 0.5975  1 B 1.35
O 0.7637 0.8359 0.0975  1 B 1.35
O 0.7704 0.0800 0.5608  2 B 1.37-1.48
O 0.7704 0.4200 0.0608  2 B 1.37-1.48
O 0.7824 0.0310 0.7432  2 B 1.37-1.49
O 0.7824 0.4690 0.2432  2 B 1.37-1.49
O 0.8156 0.0679 0.3751  2 B 1.36-1.48
O 0.8156 0.4321 0.8751  2 B 1.36-1.48
O 0.8894 0.7280 0.4065  1 B 1.35
O 0.8894 0.7720 0.9065  1 B 1.35
O 0.9414 0.1650 0.6723  2 B 1.37-1.47
O 0.9414 0.3350 0.1723  2 B 1.37-1.47
O 0.9668 0.1570 0.4867  2 B 1.40-1.41
O 0.9668 0.3430 0.9867  2 B 1.40-1.41

3.
DFT (GGA-PBEsol) results for a geometry-optimized LaAlB3 structure.

Output
formation energy = 2.386 eV/atom

Cell: 4.6393 4.6393 4.6393 Å, 90.00 90.00 90.00°
With the nearest neighbours (Å) after each atom.
Atoms (fractional coordinates):
La 0.0000 0.0000 0.0000  6 B 2.32
Al 0.5000 0.5000 0.5000  12 B 3.28
B 0.0000 0.0000 0.5000  2 La 2.32
B 0.0000 0.5000 0.0000  2 La 2.32
B 0.5000 0.0000 0.0000  2 La 2.32

4.
DFT (GGA-PBEsol) results for a geometry-optimized LaAl2BRu2 structure.

Output
formation energy = -0.615 eV/atom

Cell: 4.1854 4.1854 5.6180 Å, 90.00 90.00 90.00°
With the nearest neighbours (Å) after each atom.
Atoms (fractional coordinates):
La 0.0000 0.0000 0.0000  2 B 2.81
Al 0.5000 0.5000 0.2455  4 Ru 2.53, 1 Al 2.76
Al 0.5000 0.5000 0.7545  4 Ru 2.53, 1 Al 2.76
B 0.0000 0.0000 0.5000  4 Ru 2.09
Ru 0.0000 0.5000 0.5000  2 B 2.09
Ru 0.5000 0.0000 0.5000  2 B 2.09

5.
DFT (GGA-PBEsol) results for a geometry-optimized Li2AlB2 structure.

Output
formation energy = 0.672 eV/atom

Cell: 6.4809 6.4809 2.2970 Å, 90.00 90.00 90.00°
With the nearest neighbours (Å) after each atom.
Atoms (fractional coordinates):
Li 0.1126 0.3874 0.0000  3 Li 2.06-2.30, 6 B 2.18-2.29
Li 0.3874 0.8874 0.0000  3 Li 2.06-2.30, 6 B 2.18-2.29
Li 0.6126 0.1126 0.0000  3 Li 2.06-2.30, 6 B 2.18-2.29
Li 0.8874 0.6126 0.0000  3 Li 2.06-2.30, 6 B 2.18-2.29
Al 0.0000 0.0000 0.0000  2 Al 2.30
Al 0.5000 0.5000 0.0000  2 Al 2.30
B 0.1847 0.6847 0.5000  6 Li 2.18-2.29, 2 B 2.30
B 0.3153 0.1847 0.5000  6 Li 2.18-2.29, 2 B 2.30
B 0.6847 0.8153 0.5000  6 Li 2.18-2.29, 2 B 2.30
B 0.8153 0.3153 0.5000  6 Li 2.18-2.29, 2 B 2.30

6.
DFT (GGA-PBEsol) results for a geometry-optimized Li2AlBO4 structure.

Output
uncorrected formation energy = -247 kJ per mole of atoms

Cell: 6.2569 5.0691 10.2767 Å, 90.00 95.41 90.00°
With the nearest neighbours (Å) after each atom.
Atoms (fractional coordinates):
Li 0.1041 0.1395 0.2898  4 O 1.91-2.12
Li 0.1041 0.3605 0.7898  4 O 1.91-2.12
Li 0.2266 0.1717 0.5726  4 O 1.93-2.00
Li 0.2266 0.3283 0.0726  4 O 1.93-2.00
Li 0.7734 0.6717 0.9274  4 O 1.93-2.00
Li 0.7734 0.8283 0.4274  4 O 1.93-2.00
Li 0.8959 0.6395 0.2102  4 O 1.91-2.12
Li 0.8959 0.8605 0.7102  4 O 1.91-2.12
Al 0.4976 0.6480 0.6579  4 O 1.74-1.80
Al 0.4976 0.8520 0.1579  4 O 1.74-1.80
Al 0.5024 0.1480 0.8421  4 O 1.74-1.80
Al 0.5024 0.3520 0.3421  4 O 1.74-1.80
B 0.2008 0.6777 0.4408  3 O 1.35-1.42
B 0.2008 0.8223 0.9408  3 O 1.35-1.42
B 0.7992 0.1777 0.0592  3 O 1.35-1.42
B 0.7992 0.3223 0.5592  3 O 1.35-1.42
O 0.0511 0.7014 0.8587  1 B 1.35
O 0.0511 0.7986 0.3587  1 B 1.35
O 0.2633 0.0875 0.9216  1 B 1.42
O 0.2633 0.4125 0.4216  1 B 1.42
O 0.3009 0.6935 0.0499  1 B 1.39
O 0.3009 0.8065 0.5499  1 B 1.39
O 0.3984 0.1459 0.2157  2 Al 1.74
O 0.3984 0.3541 0.7157  2 Al 1.74
O 0.6016 0.6459 0.2843  2 Al 1.74
O 0.6016 0.8541 0.7843  2 Al 1.74
O 0.6991 0.1935 0.4501  1 B 1.39
O 0.6991 0.3065 0.9501  1 B 1.39
O 0.7367 0.5875 0.5784  1 B 1.42
O 0.7367 0.9125 0.0784  1 B 1.42
O 0.9489 0.2014 0.6413  1 B 1.35
O 0.9489 0.2986 0.1413  1 B 1.35

Number 1: magnetization 0.00 μB/f.u., DOS(E_F) 0.00 states/eV per cell, mass density 2458 kg/m3. Number 2: magnetization 0.00 μB/f.u., DOS(E_F) 0.00 states/eV per cell, mass density 2084 kg/m3. Number 3: magnetization 0.00 μB/f.u., DOS(E_F) 3.51 states/eV per cell, mass density 3298 kg/m3. Number 4: magnetization 0.00 μB/f.u., DOS(E_F) 2.06 states/eV per cell, mass density 6847 kg/m3. Number 5: magnetization 0.00 μB/f.u., DOS(E_F) 2.36 states/eV per cell, mass density 2151 kg/m3. Number 6: magnetization 0.00 μB/f.u., DOS(E_F) 0.00 states/eV per cell, mass density 2368 kg/m3.